GGA-PBE Na3Sb3Pt2, optimized geometry; energy above the most stable polymorph in this dataset = 58 meV/atom; E_tot = -126.4 eV/cell; mass density = 6.75 g/cm³; symmetry = Pnma (62); M_tot = 0.0 μB/cell
1.0
8.466 0.000 0.000
0.000 15.796 0.000
0.000 0.000 6.064
Na Sb Pt
12 12 8
direct
0.013 0.115 0.100
0.013 0.385 0.100
0.162 0.250 0.610
0.338 0.750 0.110
0.487 0.615 0.600
0.487 0.885 0.600
0.513 0.115 0.400
0.513 0.385 0.400
0.662 0.250 0.890
0.838 0.750 0.390
0.987 0.615 0.900
0.987 0.885 0.900
0.163 0.050 0.599
0.163 0.450 0.599
0.191 0.750 0.602
0.309 0.250 0.102
0.337 0.550 0.099
0.337 0.950 0.099
0.663 0.050 0.901
0.663 0.450 0.901
0.691 0.750 0.898
0.809 0.250 0.398
0.837 0.550 0.401
0.837 0.950 0.401
0.137 0.603 0.407
0.137 0.897 0.407
0.363 0.103 0.907
0.363 0.397 0.907
0.637 0.603 0.093
0.637 0.897 0.093
0.863 0.103 0.593
0.863 0.397 0.593

GGA-PBE V2Os2Ru3, optimized geometry; E_form = 45 meV/atom; E_tot = -68.2 eV/cell; mass density = 13.08 g/cm³; symmetry = Cmmm (65); M_tot = 0.0 μB/cell
1.0
2.060 -8.969 0.000
2.060 8.969 0.000
0.000 0.000 2.700
V Os Ru
2 2 3
direct
0.071 0.929 0.000
0.929 0.071 0.000
0.210 0.790 0.000
0.790 0.210 0.000
0.348 0.652 0.500
0.500 0.500 0.500
0.652 0.348 0.500

GGA-PBE AlHPt4, optimized geometry; E_tot = -61.8 eV/cell; mass density = 14.63 g/cm³; symmetry = I4_1md (109); M_tot = 0.0 μB/cell
1.0
-3.642 3.642 3.460
3.642 -3.642 3.460
3.642 3.642 -3.460
Al H Pt
2 2 8
direct
0.000 0.000 0.000
0.750 0.250 0.500
0.139 0.639 0.500
0.389 0.389 0.000
0.234 0.523 0.711
0.251 0.939 0.313
0.273 0.062 0.789
0.273 0.484 0.211
0.626 0.939 0.687
0.689 0.501 0.813
0.689 0.876 0.187
0.812 0.523 0.289